Material: KLiTe2
Method: DFT, PBE
State: relaxed

Calculated values
As for the energy above the lowest structure with this stoichiometry: 0.300 eV/atom. The calculation puts the total energy at -2.817 eV/atom. As for the raw formation energy: -494 meV per atom. The symmetry is Imm2 (44).

Cell and atoms, written as POSCAR:
```
KLiTe2
1.0
6.7395 -0.0050 -0.0083
3.4016 5.8180 0.0083
-4.5463 -3.8211 3.1861
K Li Te
1 1 2
direct
0.4994 0.4994 0.0000
0.2013 0.7013 0.5000
0.0125 0.0125 0.0000
0.7868 0.2868 0.5000
```